Record 1
## Ca2ScMn (GGA-PBE)

Data for a relaxed Ca2ScMn crystal.

**Energy relative to the elements**: 2.5 eV per formula unit
**ΔE to the lowest computed polymorph**: 432 meV per atom

Unit cell a=8.6249 b=8.6249 c=6.8454 alpha=50.95 beta=50.95 gamma=90.00
Each line ends with the local moment (μB).
Fractional coordinates of all 8 atoms:
Sc 0.5000 0.5000 0.0000  0.46
Sc 0.2500 0.7500 0.5000  0.46
Ca 0.6654 0.6250 0.2500  0.07
Ca 0.8750 0.3346 0.7500  0.07
Ca 0.0846 0.1250 0.2500  0.07
Ca 0.3750 0.9154 0.7500  0.07
Mn 0.0000 0.0000 0.0000  -3.71
Mn 0.7500 0.2500 0.5000  -3.71

=====

Record 2
## Sm2HgF8 (GGA-PBE)

Data for a relaxed Sm2HgF8 crystal.

**Formation energy from raw total energies**: -37.026 eV per formula unit

Unit cell a=3.7485 b=5.6638 c=7.7811 alpha=108.90 beta=103.94 gamma=90.00
Fractional coordinates of all 11 atoms:
F 0.6817 0.9620 0.3634
F 0.5980 0.4556 0.1960
F 0.0423 0.8110 0.0846
F 0.7820 0.6716 0.5639
F 0.2180 0.3284 0.4361
F 0.4020 0.5444 0.8040
F 0.9577 0.1890 0.9154
F 0.3183 0.0380 0.6366
Hg 0.5000 0.0000 0.0000
Sm 0.1778 0.6866 0.3556
Sm 0.8222 0.3134 0.6444

=====

Record 3
## BBr2Cl (GGA-PBE)

Data for a relaxed BBr2Cl crystal.

**Formation energy from raw total energies**: 2.653 eV per formula unit
**ΔE to the lowest computed polymorph**: 1313 meV per atom

Unit cell a=9.8346 b=9.8346 c=9.8346 alpha=19.56 beta=19.56 gamma=19.56
Each line ends with the local moment (μB).
Fractional coordinates of all 4 atoms:
Br 0.1190 0.1190 0.1190  0.00
Br 0.8810 0.8810 0.8810  0.00
B 0.5000 0.5000 0.5000  0.01
Cl 0.0000 0.0000 0.0000  0.57

=====

Record 4
## MgSbOs2 (GGA-PBE)

Data for a relaxed MgSbOs2 crystal.

**Formation energy from raw total energies**: 3.847 eV per formula unit

Unit cell a=7.5175 b=7.5175 c=5.9400 alpha=50.74 beta=50.74 gamma=90.00
Fractional coordinates of all 8 atoms:
Sb 0.0000 0.0000 0.0000
Sb 0.7500 0.2500 0.5000
Mg 0.2500 0.7500 0.5000
Mg 0.5000 0.5000 0.0000
Os 0.6438 0.1250 0.2500
Os 0.3750 0.3562 0.7500
Os 0.1062 0.6250 0.2500
Os 0.8750 0.8938 0.7500

=====

Record 5
## NdErHgPb (GGA-PBE)

Data for a relaxed NdErHgPb crystal.

**Energy relative to the elements**: -1.8 eV per formula unit

Unit cell a=5.4008 b=5.4008 c=5.4008 alpha=60.00 beta=60.00 gamma=60.00
Fractional coordinates of all 4 atoms:
Er 0.2500 0.2500 0.2500
Hg 0.0000 0.0000 0.0000
Pb 0.5000 0.5000 0.5000
Nd 0.7500 0.7500 0.7500

=====

Record 6
## Ta2Co3 (GGA-PBE)

Data for a relaxed Ta2Co3 crystal.

**Energy relative to the elements**: -1.0 eV per formula unit
**ΔE to the lowest computed polymorph**: 0 meV per atom

Unit cell a=4.9899 b=4.9899 c=6.5336 alpha=77.10 beta=77.10 gamma=114.55
Fractional coordinates of all 10 atoms:
Ta 0.6092 0.7626 0.4034
Ta 0.7626 0.4161 0.0966
Ta 0.1661 0.0126 0.5966
Ta 0.5126 0.8592 0.9034
Co 0.1641 0.7742 0.2845
Co 0.1986 0.3087 0.2155
Co 0.0587 0.4486 0.7155
Co 0.5242 0.4141 0.7845
Co 0.0020 0.0020 0.0000
Co 0.7520 0.2520 0.5000

=====

Record 7
## K2CdHg (GGA-PBE)

Data for a relaxed K2CdHg crystal.

**Energy relative to the elements**: -0.4 eV per formula unit

Unit cell a=4.1492 b=4.1494 c=9.5907 alpha=90.00 beta=90.00 gamma=90.02
Fractional coordinates of all 4 atoms:
K 0.0000 0.0000 0.9248
K 0.5000 0.5000 0.3221
Cd 0.0000 0.0000 0.5642
Hg 0.5000 0.5000 0.6888

=====

Record 8
## PrNiAs2 (GGA-PBE)

Data for a relaxed PrNiAs2 crystal.

**Energy relative to the elements**: -3.5 eV per formula unit

Unit cell a=4.0938 b=4.0938 c=5.6581 alpha=111.23 beta=111.23 gamma=89.95
Fractional coordinates of all 4 atoms:
Ni 0.4712 0.6313 0.7282
Pr 0.2213 0.8812 0.2282
As 0.5859 0.2455 0.9569
As 0.8569 0.5166 0.4994

=====

Record 9
## CuSIO (GGA-PBE)

Data for a relaxed CuSIO crystal.

**Formation energy from raw total energies**: -1.654 eV per formula unit
**ΔE to the lowest computed polymorph**: 36 meV per atom

Unit cell a=4.0712 b=12.3168 c=4.0971 alpha=69.77 beta=105.00 gamma=95.86
Fractional coordinates of all 8 atoms:
S 0.6188 0.5875 0.6012
S 0.6326 0.1064 0.8952
I 0.9619 0.7963 0.7279
I 0.2091 0.3646 0.4586
Cu 0.1498 0.5016 0.7885
Cu 0.4958 0.6608 0.9883
O 0.8704 0.1317 0.1936
O 0.3872 0.0133 0.9869

=====

Record 10
## BaMg2Zn (GGA-PBE)

Data for a relaxed BaMg2Zn crystal.

**Energy relative to the elements**: 0.0 eV per formula unit

Unit cell a=3.5223 b=3.5223 c=8.9242 alpha=90.00 beta=90.00 gamma=90.01
Fractional coordinates of all 4 atoms:
Mg 0.0000 0.0000 0.4297
Mg 0.0000 0.0000 0.0703
Zn 0.5000 0.5000 0.2500
Ba 0.5000 0.5000 0.7500

=====

Record 11
## Tb2Ga7Ni (GGA-PBE)

Data for a relaxed Tb2Ga7Ni crystal.

**Energy relative to the elements**: -4.5 eV per formula unit

Unit cell a=4.1616 b=4.1616 c=10.7085 alpha=90.00 beta=90.00 gamma=90.00
Fractional coordinates of all 10 atoms:
Ga 0.5000 0.5000 0.5000
Ga 0.5000 0.0000 0.3548
Ga 0.0000 0.5000 0.8740
Ga 0.5000 0.0000 0.1260
Ga 0.0000 0.5000 0.6452
Ga 0.0000 0.0000 0.5000
Ga 0.0000 0.0000 0.0000
Tb 0.5000 0.0000 0.7603
Tb 0.0000 0.5000 0.2397
Ni 0.5000 0.5000 0.0000

=====

Record 12
## RbZnGa2Sn8 (GGA-PBE)

Data for a relaxed RbZnGa2Sn8 crystal.

**Energy relative to the elements**: 0.6 eV per formula unit

Unit cell a=6.4491 b=6.4491 c=10.2392 alpha=71.64 beta=71.64 gamma=60.00
Fractional coordinates of all 12 atoms:
Ga 0.2144 0.2144 0.3567
Ga 0.7856 0.7856 0.6433
Sn 0.0724 0.4386 0.8537
Sn 0.4386 0.6352 0.8537
Sn 0.1082 0.1082 0.6753
Sn 0.5614 0.3648 0.1463
Sn 0.8918 0.8918 0.3247
Sn 0.9276 0.5614 0.1463
Sn 0.6352 0.0724 0.8537
Sn 0.3648 0.9276 0.1463
Zn 0.0000 0.0000 0.0000
Rb 0.5000 0.5000 0.5000

=====

Fermi-level density of states, respectively: 6.0, 0.0, 2.3, 2.2, 4.9, 5.1, 2.2, 1.9, 0.0, 2.3, 2.7, 5.9 states/eV/f.u..
M_tot, respectively: 0.653, 0.000, 0.183, 0.000, 0.000, 0.000, 0.000, 0.000, 0.000, 0.000, 0.000, 0.000 μB per atom.